# 1
GGA-PBE Ba2SmSn4Au3, relaxed; space group = P-4m2
1.0
4.798 0.000 0.000
0.000 4.798 0.000
0.000 0.000 12.554
Ba Sm Sn Au
2 1 4 3
Cartesian
0.000 2.399 2.976
2.399 0.000 9.579
0.000 0.000 6.277
0.000 0.000 0.000
0.000 2.399 8.187
2.399 0.000 4.367
2.399 2.399 0.000
0.000 2.399 10.981
2.399 0.000 1.573
2.399 2.399 6.277


# 2
GGA-PBE BaSmTlAu, relaxed; space group = F-43m
1.0
0.000 3.964 3.964
3.964 0.000 3.964
3.964 3.964 0.000
Ba Sm Tl Au
1 1 1 1
Cartesian
0.000 0.000 0.000
3.964 3.964 3.964
1.982 1.982 1.982
5.946 5.946 5.946


# 3
GGA-PBE BaSmZnAu, relaxed; space group = F-43m
1.0
0.000 3.851 3.851
3.851 0.000 3.851
3.851 3.851 0.000
Ba Sm Zn Au
1 1 1 1
Cartesian
0.000 0.000 0.000
3.851 3.851 3.851
5.776 5.776 5.776
1.925 1.925 1.925


# 4
GGA-PBE Ba2Sn3Au9, relaxed; space group = C2/c
1.0
7.706 -4.102 0.000
7.706 4.102 0.000
-5.473 0.000 10.412
Ba Sn Au
4 6 18
Cartesian
1.249 0.708 2.501
-1.487 -0.708 7.707
11.427 0.708 2.705
8.690 -0.708 7.911
3.853 2.051 0.000
3.625 2.353 5.315
3.578 2.353 10.303
1.117 -2.051 5.206
6.361 -2.353 0.109
6.315 -2.353 5.097
6.329 3.123 1.086
6.347 3.123 4.120
1.202 0.738 5.938
4.548 1.286 2.769
0.944 0.594 10.021
3.938 -0.738 0.732
3.601 1.043 7.809
8.128 1.286 2.437
3.680 -0.594 4.815
6.259 0.594 5.597
1.812 -1.286 7.975
6.338 -1.043 2.603
6.001 0.738 9.680
8.995 -0.594 0.391
5.391 -1.286 7.643
8.737 -0.738 4.474
3.592 -3.123 6.292
3.611 -3.123 9.326


# 5
GGA-PBE Ba6SnAu5, relaxed; space group = Immm
1.0
-2.866 4.108 8.642
2.866 -4.108 8.642
2.866 4.108 -8.642
Ba Sn Au
6 1 5
Cartesian
2.866 2.039 -2.913
0.000 1.990 0.000
2.866 2.039 2.913
0.000 2.069 5.729
0.000 6.225 0.000
0.000 2.069 11.556
0.000 0.000 8.642
2.866 0.000 0.000
0.000 0.000 2.908
2.866 0.000 5.844
0.000 4.108 2.798
0.000 0.000 14.377


# 6
GGA-PBE Ba3Sn2Au2, relaxed; space group = C2/m
1.0
6.232 -2.509 0.000
6.232 2.509 0.000
-2.913 0.000 7.974
Ba Sn Au
3 2 2
Cartesian
0.000 0.000 0.000
0.358 0.000 5.217
9.192 0.000 2.757
3.966 0.000 5.215
5.583 0.000 2.760
3.670 0.000 0.582
5.880 0.000 7.392


# 7
GGA-PBE BaSn5Au2, relaxed; space group = Immm
1.0
-2.233 4.292 5.895
2.233 -4.292 5.895
2.233 4.292 -5.895
Ba Sn Au
1 5 2
Cartesian
0.000 0.000 0.000
2.233 2.643 -1.800
2.233 2.643 1.800
0.000 4.292 0.000
0.000 1.649 4.096
0.000 1.649 7.695
2.233 0.000 2.818
0.000 4.292 3.077


# 8
GGA-PBE BaSnAu, relaxed; space group = P2_1/c
1.0
7.016 0.000 0.000
0.000 8.277 0.000
-2.145 0.000 6.959
Ba Sn Au
4 4 4
Cartesian
0.761 0.648 2.156
-0.311 3.490 5.635
5.182 4.787 1.323
4.110 7.628 4.803
1.492 4.168 2.284
0.420 8.248 5.763
4.452 0.029 1.195
3.379 4.109 4.674
1.091 6.121 4.181
2.163 6.295 0.701
2.708 1.982 6.257
3.780 2.156 2.778


# 9
GGA-PBE BaSnAu4, relaxed; energy above the lowest structure with this stoichiometry = 0.724 kcal/mol of atoms; space group = Cmcm
1.0
2.705 -8.016 0.000
2.705 8.016 0.000
0.000 0.000 7.244
Ba Sn Au
2 2 8
Cartesian
2.705 6.335 5.433
2.705 -6.335 1.811
2.705 2.090 5.433
2.705 -2.090 1.811
2.705 6.273 1.811
2.705 3.687 0.421
2.705 3.687 3.201
2.705 0.000 0.000
2.705 0.000 3.622
2.705 -3.687 4.043
2.705 -3.687 6.823
2.705 -6.273 5.433


# 10
GGA-PBE Ba8Sn2Au, relaxed; space group = C2/m
1.0
10.954 -2.930 0.000
10.954 2.930 0.000
-2.046 0.000 7.779
Ba Sn Au
8 2 1
Cartesian
0.086 0.000 2.305
2.992 0.000 6.246
6.421 0.000 4.222
8.771 0.000 0.547
11.091 0.000 7.232
13.441 0.000 3.557
16.870 0.000 1.533
19.777 0.000 5.474
3.697 0.000 1.750
16.166 0.000 6.029
9.931 0.000 3.889


E_tot values, unit eV/cell, following the record order: -40.57; -13.92; -12.56; -101.62; -39.96; -25.10; -30.76; -44.51; -42.83; -31.28.
Calculated formation energy values, unit meV/atom, following the record order: -616.0; -408.0; -342.9; -389.8; -669.9; -682.3; -283.9; -641.3; -396.8; -419.8.
D(E_F) values, unit states/eV per cell, following the record order: 6.1; 3.0; 3.6; 12.3; 9.4; 4.7; 4.3; 3.3; 2.6; 9.1.